Record 1
Entry from Alexandria: an optimized crystal structure of BOsRh3 (GGA-PBE).

Its total magnetization is 0.00 μB/f.u. The distance to the lowest polymorph of the same formula is 0 meV/atom. The formation enthalpy at 0 K comes out at 0.342 eV per atom.

a b c (Å): 4.058 4.058 4.058
angles (deg): 90.00 90.00 90.00
Fractional coordinates of all 5 atoms:
B 0.000 0.000 0.000
Rh 0.000 0.500 0.000
Rh 0.500 0.000 0.000
Rh 0.000 0.000 0.500
Os 0.500 0.500 0.500

Record 2
Entry from Alexandria: an optimized crystal structure of RbTc2SnRh (GGA-PBE).

Its total magnetization is 5.36 μB/f.u. The formation enthalpy at 0 K comes out at 1.318 eV per atom.

a b c (Å): 5.082 5.076 5.082
angles (deg): 90.00 90.00 90.00
Each line ends with the local moment (μB).
Fractional coordinates of all 5 atoms:
Rb 0.500 0.500 0.500  0.01
Sn 0.000 0.500 0.000  -0.11
Rh 0.000 0.000 0.000  0.29
Tc 0.000 0.000 0.500  2.43
Tc 0.500 0.000 0.000  2.22

Record 3
Entry from Alexandria: an optimized crystal structure of SrEuSbPb (GGA-PBE).

Its total magnetization is 7.05 μB/f.u. The value obtained for the electronic total energy is -5.546 eV/atom.

a b c (Å): 5.714 5.714 5.714
angles (deg): 60.00 60.00 60.00
Each line ends with the local moment (μB).
Fractional coordinates of all 4 atoms:
Sr 0.750 0.750 0.750  -0.01
Eu 0.250 0.250 0.250  -6.80
Pb 0.500 0.500 0.500  -0.01
Sb 0.000 0.000 0.000  0.01

Record 4
Entry from Alexandria: an optimized crystal structure of Sr7SbN2 (GGA-PBE).

Its total magnetization is 0.00 μB/f.u. The value obtained for the electronic total energy is -3.661 eV/atom.

a b c (Å): 4.154 10.574 10.574
angles (deg): 116.62 90.00 90.00
Fractional coordinates of all 10 atoms:
Sr 0.500 0.276 0.040
Sr 0.500 0.040 0.276
Sr 0.500 0.724 0.960
Sr 0.000 0.722 0.278
Sr 0.500 0.960 0.724
Sr 0.500 0.500 0.500
Sr 0.000 0.278 0.722
N 0.500 0.206 0.794
N 0.500 0.794 0.206
Sb 0.000 0.000 0.000

Record 5
Entry from Alexandria: an optimized crystal structure of MnRu2Pb (GGA-PBE).

Its total magnetization is 3.86 μB/f.u. The formation enthalpy at 0 K comes out at 0.484 eV per atom.

a b c (Å): 4.121 2.956 5.772
angles (deg): 71.12 90.00 90.00
Each line ends with the local moment (μB).
Fractional coordinates of all 4 atoms:
Ru 0.000 0.095 0.037  0.24
Ru 0.000 0.405 0.463  0.24
Pb 0.500 0.750 0.750  -0.02
Mn 0.500 0.250 0.250  3.24

Record 6
Entry from Alexandria: an optimized crystal structure of NaSrDy2Hg4 (GGA-PBE).

Its total magnetization is 0.00 μB/f.u. The formation enthalpy at 0 K comes out at -0.385 eV per atom.

a b c (Å): 5.278 5.278 9.376
angles (deg): 73.65 73.65 60.00
Fractional coordinates of all 8 atoms:
Sr 0.000 0.000 0.000
Hg 0.874 0.874 0.379
Hg 0.126 0.126 0.621
Hg 0.383 0.383 0.852
Hg 0.617 0.617 0.148
Dy 0.755 0.755 0.734
Dy 0.245 0.245 0.266
Na 0.500 0.500 0.500